{
  "formula": "Dy6Ga2Pd",
  "functional": "PBE",
  "state": "optimized geometry",
  "de_polymorph_ev_per_fu": 0.00,
  "e_form_mev_per_atom": -454,
  "space_group": "Immm (71)",
  "lattice": [[-4.8001, 4.8668, 5.0104], [4.8001, -4.8668, 5.0104], [4.8001, 4.8668, -5.0104]],
  "species": ["Dy", "Dy", "Dy", "Dy", "Dy", "Dy", "Dy", "Dy", "Dy", "Dy", "Dy", "Dy", "Ga", "Ga", "Ga", "Ga", "Pd", "Pd"],
  "frac_coords": [[0.0353, 0.8269, 0.2084], [0.2581, 0.5663, 0.3083], [0.2581, 0.9498, 0.6917], [0.2612, 0.3257, 0.5869], [0.2612, 0.6743, 0.9356], [0.3814, 0.1731, 0.2084], [0.6186, 0.8269, 0.7916], [0.7388, 0.3257, 0.0644], [0.7388, 0.6743, 0.4131], [0.7419, 0.0502, 0.3083], [0.7419, 0.4337, 0.6917], [0.9647, 0.1731, 0.7916], [0.0000, 0.1428, 0.1428], [0.0000, 0.8572, 0.8572], [0.3759, 0.3759, 0.0000], [0.6241, 0.6241, 0.0000], [0.0000, 0.5000, 0.5000], [0.5000, 0.0000, 0.5000]]
}